(1)
Below is a geometry-optimized CePaSn2 structure, with properties calculated at the PBE-GGA level.

Summary:
- ΔE to the lowest computed polymorph: 0 kJ/mol of formula units
- Calculated formation energy: -1.50 eV/f.u.

Cell: 3.409 3.409 9.079 Å, 90.00 90.00 90.00°
Sites, in units of the cell vectors:
1 Ce 0.000 0.000 0.000
2 Pa 0.000 0.000 0.500
3 Sn 0.500 0.500 0.254
4 Sn 0.500 0.500 0.746



(2)
Below is a geometry-optimized LiBe3 structure, with properties calculated at the PBE-GGA level.

Summary:
- ΔE to the lowest computed polymorph: 42 kJ/mol of formula units
- Calculated formation energy: 0.56 eV/f.u.

Cell: 2.227 2.227 7.796 Å, 90.00 90.00 110.75°
Sites, in units of the cell vectors:
1 Li 0.000 0.000 0.000
2 Be 0.000 0.000 0.500
3 Be 0.500 0.500 0.268
4 Be 0.500 0.500 0.732



Number 1: calculated volume 106 Å³/cell. Number 2: calculated volume 36 Å³/cell.